Computed, not measured: crystalline Sr2NiSb at its relaxed geometry at the PBE level of DFT.

Summary:
Volume, Å³/cell: 137
N(E_F), states/eV per atom: 1.884
E_form (uncorrected), meV per atom: -148

The structure in CIF format:
```
data_Sr2NiSb
_cell_length_a 4.1335
_cell_length_b 5.0784
_cell_length_c 6.5318
_cell_angle_alpha 90.00
_cell_angle_beta 90.00
_cell_angle_gamma 90.00
_space_group_name_H-M_alt 'P m m 2'
_space_group_IT_number 25
loop_
_space_group_symop_operation_xyz
'x,y,z'
'-x,-y,z'
'-x,y,z'
'x,-y,z'
loop_
_atom_site_label
_atom_site_fract_x
_atom_site_fract_y
_atom_site_fract_z
Sr1 0.0000 0.0000 0.0000
Sr2 0.5000 0.5000 0.4931
Ni1 0.0000 0.0000 0.5019
Sb1 0.5000 0.5000 0.9926
```